(1)
DFT (GGA-PBE) results for a relaxed structure of TbPmThCd.

space group	P4mm, No. 99
crystal system	tetragonal
E above lowest polymorph	0	meV per atom
formation energy from the elements	-65	kJ/mol of formula units

a = 3.6359 Å, b = 3.6359 Å, c = 8.9729 Å
α = 90.00°, β = 90.00°, γ = 90.00°
Positions (direct):
Cd 0.5000 0.5000 0.3277
Pm 0.0000 0.0000 0.0876
Tb 0.0000 0.0000 0.5526
Th 0.5000 0.5000 0.8168

***

(2)
DFT (GGA-PBE) results for a relaxed structure of AlZnPtRh.

space group	F-43m, No. 216
crystal system	cubic
E above lowest polymorph	15	meV per atom
formation energy from the elements	-308	kJ/mol of formula units

a = 4.2988 Å, b = 4.2988 Å, c = 4.2988 Å
α = 60.00°, β = 60.00°, γ = 60.00°
Positions (direct):
Rh 0.5000 0.5000 0.5000
Zn 0.7500 0.7500 0.7500
Al 0.2500 0.2500 0.2500
Pt 0.0000 0.0000 0.0000

***

(3)
DFT (GGA-PBE) results for a relaxed structure of TlCrAg.

space group	P3m1, No. 156
crystal system	trigonal
E above lowest polymorph	48	meV per atom
formation energy from the elements	148	kJ/mol of formula units

a = 4.7175 Å, b = 4.7175 Å, c = 3.1360 Å
α = 90.00°, β = 90.00°, γ = 120.00°
Positions (direct):
Cr 0.3333 0.6667 0.3515
Ag 0.0000 0.0000 0.9613
Tl 0.6667 0.3333 0.6871

***

(4)
DFT (GGA-PBE) results for a relaxed structure of Al2AsP.

space group	C2/m, No. 12
crystal system	monoclinic
E above lowest polymorph	582	meV per atom
formation energy from the elements	13	kJ/mol of formula units

a = 4.5913 Å, b = 4.5913 Å, c = 3.8933 Å
α = 74.46°, β = 74.46°, γ = 104.74°
Positions (direct):
Al 0.5000 0.5000 0.0000
Al 0.0000 0.0000 0.0000
P 0.0000 0.5000 0.5000
As 0.5000 0.0000 0.5000

***

(5)
DFT (GGA-PBE) results for a relaxed structure of Na7Tl3In.

space group	Cmcm, No. 63
crystal system	orthorhombic
E above lowest polymorph	0	meV per atom
formation energy from the elements	-74	kJ/mol of formula units

a = 3.6900 Å, b = 13.7601 Å, c = 13.1821 Å
α = 90.00°, β = 90.00°, γ = 97.71°
Positions (direct):
Na 0.6081 0.2161 0.2500
Na 0.5150 0.0299 0.8781
Na 0.7928 0.5856 0.8902
Na 0.3419 0.6838 0.4106
Na 0.2072 0.4144 0.3902
Na 0.7928 0.5856 0.6098
Na 0.4850 0.9701 0.1219
Na 0.6581 0.3162 0.5894
Na 0.2072 0.4144 0.1098
Na 0.3919 0.7839 0.7500
Na 0.6581 0.3162 0.9106
Na 0.5150 0.0299 0.6219
Na 0.3419 0.6838 0.0894
Na 0.4850 0.9701 0.3781
In 0.9033 0.8067 0.2500
In 0.0967 0.1933 0.7500
Tl 0.2190 0.4380 0.7500
Tl 0.0823 0.1646 0.4588
Tl 0.9177 0.8354 0.9588
Tl 0.7810 0.5620 0.2500
Tl 0.9177 0.8354 0.5412
Tl 0.0823 0.1646 0.0412

***

(6)
DFT (GGA-PBE) results for a relaxed structure of Ce2Ag5Br12.

space group	C2/m, No. 12
crystal system	monoclinic
formation energy without anion corrections	-0.91	eV per atom

a = 8.2211 Å, b = 8.5715 Å, c = 10.5522 Å
α = 103.91°, β = 90.00°, γ = 118.66°
Positions (direct):
Br 0.9587 0.9174 0.1695
Br 0.0413 0.0826 0.8305
Br 0.4576 0.9151 0.1702
Br 0.8819 0.2619 0.5257
Br 0.0660 0.6306 0.8527
Br 0.6199 0.7381 0.4743
Br 0.3801 0.2619 0.5257
Br 0.5424 0.0849 0.8298
Br 0.9340 0.3694 0.1473
Br 0.5646 0.6306 0.8527
Br 0.1181 0.7381 0.4743
Br 0.4354 0.3694 0.1473
Ag 0.2578 0.5156 0.5491
Ag 0.2951 0.5903 0.2887
Ag 0.0000 0.0000 0.5000
Ag 0.7049 0.4097 0.7113
Ag 0.7422 0.4844 0.4509
Ce 0.7515 0.0000 0.0000
Ce 0.2485 0.0000 0.0000

***

(7)
DFT (GGA-PBE) results for a relaxed structure of TlSb2.

space group	Cmcm, No. 63
crystal system	orthorhombic
formation energy without anion corrections	0.07	eV per atom

a = 11.3272 Å, b = 11.3272 Å, c = 4.1536 Å
α = 90.00°, β = 90.00°, γ = 157.89°
Positions (direct):
Sb 0.7360 0.2640 0.2500
Sb 0.5437 0.4563 0.7500
Sb 0.4563 0.5437 0.2500
Sb 0.2640 0.7360 0.7500
Tl 0.1209 0.8791 0.2500
Tl 0.8791 0.1209 0.7500

***

(8)
DFT (GGA-PBE) results for a relaxed structure of NaSc2Au.

space group	R-3m, No. 166
crystal system	trigonal
formation energy from the elements	119	kJ/mol of formula units

a = 11.8227 Å, b = 11.8227 Å, c = 11.8227 Å
α = 15.13°, β = 15.13°, γ = 15.13°
Positions (direct):
Au 0.0000 0.0000 0.0000
Sc 0.9212 0.9212 0.9212
Sc 0.0788 0.0788 0.0788
Na 0.5000 0.5000 0.5000

***

(9)
DFT (GGA-PBE) results for a relaxed structure of OsAu.

space group	Fd-3m, No. 227
crystal system	cubic
E above lowest polymorph	624	meV per atom
formation energy from the elements	175	kJ/mol of formula units

a = 4.5150 Å, b = 4.5150 Å, c = 4.5150 Å
α = 60.00°, β = 60.00°, γ = 60.00°
Positions (direct):
Au 0.7500 0.7500 0.7500
Au 0.0000 0.0000 0.0000
Os 0.5000 0.5000 0.5000
Os 0.2500 0.2500 0.2500

***

(10)
DFT (GGA-PBE) results for a relaxed structure of Sc2HgSbOs.

space group	P4/mmm, No. 123
crystal system	tetragonal
formation energy without anion corrections	0.69	eV per atom

a = 5.3061 Å, b = 4.8233 Å, c = 5.3061 Å
α = 90.00°, β = 90.00°, γ = 90.00°
Positions (direct):
Sb 0.0000 0.0000 0.0000
Os 0.0000 0.5000 0.0000
Hg 0.5000 0.5000 0.5000
Sc 0.5000 0.0000 0.0000
Sc 0.0000 0.0000 0.5000

***

(11)
DFT (GGA-PBE) results for a relaxed structure of CdIn3Pt12.

space group	P4/mmm, No. 123
crystal system	tetragonal
formation energy from the elements	-506	kJ/mol of formula units

a = 4.0550 Å, b = 4.0550 Å, c = 16.1251 Å
α = 90.00°, β = 90.00°, γ = 90.00°
Positions (direct):
Pt 0.0000 0.5000 0.1253
Pt 0.5000 0.5000 0.2503
Pt 0.5000 0.0000 0.3748
Pt 0.5000 0.5000 0.5000
Pt 0.5000 0.0000 0.8747
Pt 0.0000 0.5000 0.6252
Pt 0.5000 0.5000 0.0000
Pt 0.5000 0.0000 0.6252
Pt 0.0000 0.5000 0.3748
Pt 0.5000 0.0000 0.1253
Pt 0.5000 0.5000 0.7497
Pt 0.0000 0.5000 0.8747
In 0.0000 0.0000 0.5000
In 0.0000 0.0000 0.7509
In 0.0000 0.0000 0.2491
Cd 0.0000 0.0000 0.0000

***

(12)
DFT (GGA-PBE) results for a relaxed structure of MgHCl2.

final energy	-10.82	eV per cell
space group	Fm-3m, No. 225
crystal system	cubic

a = 4.5413 Å, b = 4.5413 Å, c = 4.5413 Å
α = 60.00°, β = 60.00°, γ = 60.00°
Positions (direct):
Cl 0.2500 0.2500 0.2500
Cl 0.7500 0.7500 0.7500
H 0.0000 0.0000 0.0000
Mg 0.5000 0.5000 0.5000

***

(13)
DFT (GGA-PBE) results for a relaxed structure of In2HgS2.

space group	P4/mbm, No. 127
crystal system	tetragonal
formation energy without anion corrections	-0.06	eV per atom
E above lowest polymorph	249	meV per atom

a = 8.0007 Å, b = 8.0007 Å, c = 3.6084 Å
α = 90.00°, β = 90.00°, γ = 90.00°
Positions (direct):
S 0.6476 0.1476 0.0000
S 0.8524 0.6476 0.0000
S 0.3524 0.8524 0.0000
S 0.1476 0.3524 0.0000
In 0.1538 0.6538 0.5000
In 0.3462 0.1538 0.5000
In 0.8462 0.3462 0.5000
In 0.6538 0.8462 0.5000
Hg 0.0000 0.0000 0.0000
Hg 0.5000 0.5000 0.0000

***

(14)
DFT (GGA-PBE) results for a relaxed structure of RbHfFe3.

space group	Pm-3m, No. 221
crystal system	cubic
E above lowest polymorph	0	meV per atom
formation energy from the elements	692	kJ/mol of formula units

a = 4.9943 Å, b = 4.9943 Å, c = 4.9943 Å
α = 90.00°, β = 90.00°, γ = 90.00°
Positions (direct):
Fe 0.0000 0.0000 0.5000
Fe 0.5000 0.0000 0.0000
Fe 0.0000 0.5000 0.0000
Rb 0.5000 0.5000 0.5000
Hf 0.0000 0.0000 0.0000

***

(15)
DFT (GGA-PBE) results for a relaxed structure of LiTmInCo.

space group	F-43m, No. 216
crystal system	cubic
formation energy from the elements	-77	kJ/mol of formula units

a = 4.6357 Å, b = 4.6357 Å, c = 4.6357 Å
α = 60.00°, β = 60.00°, γ = 60.00°
Positions (direct):
Co 0.2500 0.2500 0.2500
Li 0.7500 0.7500 0.7500
In 0.0000 0.0000 0.0000
Tm 0.5000 0.5000 0.5000

***

(16)
DFT (GGA-PBE) results for a relaxed structure of La2YAl.

space group	P4/mmm, No. 123
crystal system	tetragonal
formation energy from the elements	-49	kJ/mol of formula units

a = 3.7668 Å, b = 3.7668 Å, c = 8.8805 Å
α = 90.00°, β = 90.00°, γ = 90.00°
Positions (direct):
Al 0.5000 0.5000 0.7500
La 0.0000 0.0000 0.5384
La 0.0000 0.0000 0.9616
Y 0.5000 0.5000 0.2500

***

(17)
DFT (GGA-PBE) results for a relaxed structure of Ca2OsRu.

space group	I4/mmm, No. 139
crystal system	tetragonal
E above lowest polymorph	424	meV per atom
formation energy from the elements	255	kJ/mol of formula units

a = 5.3785 Å, b = 5.3785 Å, c = 5.3785 Å
α = 134.26°, β = 134.26°, γ = 66.69°
Positions (direct):
Ca 0.5000 0.5000 0.0000
Ca 0.0000 0.0000 0.0000
Ru 0.7500 0.2500 0.5000
Os 0.2500 0.7500 0.5000

***

(18)
DFT (GGA-PBE) results for a relaxed structure of OsRu3.

space group	Cmmm, No. 65
crystal system	orthorhombic
formation energy from the elements	43	kJ/mol of formula units

a = 4.6870 Å, b = 4.6870 Å, c = 2.7093 Å
α = 90.00°, β = 90.00°, γ = 109.30°
Positions (direct):
Ru 0.5000 0.5000 0.0000
Ru 0.0000 0.5000 0.5000
Ru 0.5000 0.0000 0.5000
Os 0.0000 0.0000 0.0000

***

(19)
DFT (GGA-PBE) results for a relaxed structure of CaSi2I8.

space group	C2/m, No. 12
crystal system	monoclinic
formation energy without anion corrections	-0.50	eV per atom

a = 7.1808 Å, b = 9.0912 Å, c = 9.0912 Å
α = 79.88°, β = 81.77°, γ = 81.77°
Positions (direct):
I 0.2244 0.2820 0.9312
I 0.2244 0.9312 0.2820
I 0.3148 0.8034 0.8034
I 0.7756 0.7180 0.0688
I 0.8748 0.6076 0.6076
I 0.1252 0.3924 0.3924
I 0.7756 0.0688 0.7180
I 0.6852 0.1966 0.1966
Ca 0.0000 0.0000 0.0000
Si 0.3112 0.2102 0.2102
Si 0.6888 0.7898 0.7898

***

Asked for volume across the records above, the calculation gives 29.655, 14.043, 20.147, 17.830, 30.149, 33.029, 33.434, 24.510, 16.271, 27.160, 16.572, 16.556, 23.098, 24.914, 17.610, 31.502, 19.636, 14.043, 52.181 Å³/atom in order.
Asked for calculated density across the records above, the calculation gives 9.1, 11.5, 10.0, 3.7, 4.5, 4.7, 7.4, 5.2, 19.8, 7.4, 17.5, 2.4, 7.1, 5.8, 8.2, 5.2, 7.9, 14.6, 3.2 g/cm3 in order.